VASP calculation (PBE) on a relaxed CrIr3W crystal.

Computed properties:
- Theoretical density: 18.8 Mg/m³
- Fermi-level density of states: 0.929 states/eV/atom
- E_tot: -0.7364 Ry/atom
- Formation energy: -18.1 kJ per mole of atoms
- Size of the total moment: 0.82 μB/f.u.

abc: 4.711 5.453 6.123
angles: 102.65 97.47 106.61
Space group P-1 (No. 2)
Symmetry-distinct sites (fractional):
Cr: 0.106 0.444 0.193 (multiplicity 2)
Ir: 0.102 0.942 0.202 (multiplicity 2)
Ir: 0.291 0.354 0.594 (multiplicity 2)
Ir: 0.490 0.742 0.996 (multiplicity 2)
W: 0.300 0.852 0.607 (multiplicity 2)